Arrangement A

CaMo2Pd: relaxed, PBE-GGA. Values from VASP.

Quantum ESPRESSO input file:
```
&SYSTEM
  ibrav = 0, nat = 4, ntyp = 3
/
ATOMIC_SPECIES
Mo 95.94 Mo.upf
Pd 106.42 Pd.upf
Ca 40.08 Ca.upf
ATOMIC_POSITIONS angstrom
Mo -1.931 -0.201 2.059
Mo -5.792 -0.602 6.177
Pd -3.861 -0.402 4.118
Ca 0.000 0.000 0.000
CELL_PARAMETERS angstrom
-0.649 -0.016 4.575
-3.807 1.901 1.800
-3.266 -2.688 1.861
```

Values from the calculation:
total moment	0.000	μB/f.u.
D(E_F)	1.087	states/eV per atom

Arrangement B

CaMo2Pd: relaxed, PBE-GGA. Values from VASP.

Quantum ESPRESSO input file:
```
&SYSTEM
  ibrav = 0, nat = 8, ntyp = 3
/
ATOMIC_SPECIES
Mo 95.94 Mo.upf
Pd 106.42 Pd.upf
Ca 40.08 Ca.upf
ATOMIC_POSITIONS angstrom
Mo 1.164 -2.703 -7.839
Mo -1.870 -0.936 -6.248
Mo 3.929 -1.469 -4.544
Mo 2.808 -3.367 -13.642
Pd 0.000 0.000 0.000
Pd -1.212 -1.850 -8.647
Ca 1.103 -0.572 -5.448
Ca 4.228 -2.387 -7.490
CELL_PARAMETERS angstrom
-4.337 -0.036 -6.605
6.542 -1.108 -4.290
0.810 -3.093 -5.242
```

Values from the calculation:
total moment	0.000	μB/f.u.
D(E_F)	1.281	states/eV per atom

What are the relative energies? In eV/atom: arrangement A 0.080; arrangement B 0.000.

Arrangement A

CaMo3Pd: relaxed, PBE-GGA. Values from VASP.

Quantum ESPRESSO input file:
```
&SYSTEM
  ibrav = 0, nat = 5, ntyp = 3
/
ATOMIC_SPECIES
Mo 95.94 Mo.upf
Pd 106.42 Pd.upf
Ca 40.08 Ca.upf
ATOMIC_POSITIONS angstrom
Mo 0.000 2.276 0.000
Mo 0.000 0.000 2.276
Mo 2.276 0.000 0.000
Pd 2.276 2.276 2.276
Ca 0.000 0.000 0.000
CELL_PARAMETERS angstrom
4.552 0.000 0.000
0.000 4.552 0.000
0.000 0.000 4.552
```

Values from the calculation:
total moment	0.000	μB/f.u.
D(E_F)	1.345	states/eV per atom

Arrangement B

CaMo3Pd: relaxed, PBE-GGA. Values from VASP.

Quantum ESPRESSO input file:
```
&SYSTEM
  ibrav = 0, nat = 5, ntyp = 3
/
ATOMIC_SPECIES
Mo 95.94 Mo.upf
Pd 106.42 Pd.upf
Ca 40.08 Ca.upf
ATOMIC_POSITIONS angstrom
Mo 0.000 2.421 0.000
Mo 0.000 0.000 2.421
Mo 2.421 0.000 0.000
Pd 0.000 0.000 0.000
Ca 2.421 2.421 2.421
CELL_PARAMETERS angstrom
4.843 0.000 0.000
0.000 4.843 0.000
0.000 0.000 4.843
```

Values from the calculation:
total moment	0.000	μB/f.u.
D(E_F)	1.763	states/eV per atom

What are the relative energies? In eV/atom: arrangement A 0.961; arrangement B 0.000.

Arrangement A

CaMoPt2: relaxed, PBE-GGA. Values from VASP.

Quantum ESPRESSO input file:
```
&SYSTEM
  ibrav = 0, nat = 4, ntyp = 3
/
ATOMIC_SPECIES
Mo 95.94 Mo.upf
Pt 195.08 Pt.upf
Ca 40.08 Ca.upf
ATOMIC_POSITIONS angstrom
Mo 1.455 1.452 6.209
Pt 0.000 0.000 4.359
Pt 0.000 0.000 8.059
Ca 1.455 1.452 2.070
CELL_PARAMETERS angstrom
2.909 -0.004 0.000
0.002 2.909 0.000
0.000 0.000 8.278
```

Values from the calculation:
total moment	0.000	μB/f.u.
D(E_F)	1.213	states/eV per atom

Arrangement B

CaMoPt2: relaxed, PBE-GGA. Values from VASP.

Quantum ESPRESSO input file:
```
&SYSTEM
  ibrav = 0, nat = 4, ntyp = 3
/
ATOMIC_SPECIES
Mo 95.94 Mo.upf
Ca 40.08 Ca.upf
Pt 195.08 Pt.upf
ATOMIC_POSITIONS angstrom
Mo -2.647 -1.113 -0.659
Ca -1.671 -2.488 -3.075
Pt -0.421 -2.883 -0.436
Pt 0.000 0.000 0.000
CELL_PARAMETERS angstrom
-3.897 -0.717 -3.298
0.556 -4.259 -2.852
0.273 0.980 5.054
```

Values from the calculation:
total moment	0.001	μB/f.u.
D(E_F)	0.988	states/eV per atom

Arrangement C

CaMoPt2: relaxed, PBE-GGA. Values from VASP.

Quantum ESPRESSO input file:
```
&SYSTEM
  ibrav = 0, nat = 4, ntyp = 3
/
ATOMIC_SPECIES
Pt 195.08 Pt.upf
Mo 95.94 Mo.upf
Ca 40.08 Ca.upf
ATOMIC_POSITIONS angstrom
Pt 1.685 1.685 1.467
Pt 0.000 0.000 6.636
Mo 1.685 1.685 5.506
Ca 0.000 0.000 3.254
CELL_PARAMETERS angstrom
3.370 0.000 0.000
0.000 3.370 0.000
0.000 0.000 6.745
```

Values from the calculation:
total moment	0.000	μB/f.u.
D(E_F)	0.595	states/eV per atom

What are the relative energies? In eV/atom: arrangement A 0.000; arrangement B 0.335; arrangement C 0.349.

Arrangement A

CaMoPt2: relaxed, PBE-GGA. Values from VASP.

Quantum ESPRESSO input file:
```
&SYSTEM
  ibrav = 0, nat = 4, ntyp = 3
/
ATOMIC_SPECIES
Mo 95.94 Mo.upf
Pt 195.08 Pt.upf
Ca 40.08 Ca.upf
ATOMIC_POSITIONS angstrom
Mo 3.949 -0.625 4.000
Pt 2.237 -1.609 1.040
Pt 2.885 1.657 4.989
Ca 1.409 0.809 2.437
CELL_PARAMETERS angstrom
-0.558 -2.528 1.163
3.592 -1.516 -1.573
2.978 1.711 5.150
```

Values from the calculation:
total moment	0.000	μB/f.u.
D(E_F)	0.965	states/eV per atom

Arrangement B

CaMoPt2: relaxed, PBE-GGA. Values from VASP.

Quantum ESPRESSO input file:
```
&SYSTEM
  ibrav = 0, nat = 4, ntyp = 3
/
ATOMIC_SPECIES
Mo 95.94 Mo.upf
Ca 40.08 Ca.upf
Pt 195.08 Pt.upf
ATOMIC_POSITIONS angstrom
Mo -0.027 2.490 1.417
Ca 2.490 0.023 1.417
Pt 2.463 2.513 0.000
Pt 0.000 0.000 0.000
CELL_PARAMETERS angstrom
4.980 0.045 0.000
-0.055 4.980 0.000
0.000 0.000 2.835
```

Values from the calculation:
total moment	0.000	μB/f.u.
D(E_F)	0.833	states/eV per atom

Arrangement C

CaMoPt2: relaxed, PBE-GGA. Values from VASP.

Quantum ESPRESSO input file:
```
&SYSTEM
  ibrav = 0, nat = 4, ntyp = 3
/
ATOMIC_SPECIES
Pt 195.08 Pt.upf
Ca 40.08 Ca.upf
Mo 95.94 Mo.upf
ATOMIC_POSITIONS angstrom
Pt 3.746 2.894 5.521
Pt 1.845 1.204 4.263
Ca -0.478 1.812 2.245
Mo 1.143 2.817 6.358
CELL_PARAMETERS angstrom
-2.577 2.619 0.376
-0.728 -1.083 2.555
3.970 3.093 5.671
```

Values from the calculation:
total moment	0.002	μB/f.u.
D(E_F)	0.889	states/eV per atom

Arrangement D

CaMoPt2: relaxed, PBE-GGA. Values from VASP.

Quantum ESPRESSO input file:
```
&SYSTEM
  ibrav = 0, nat = 4, ntyp = 3
/
ATOMIC_SPECIES
Mo 95.94 Mo.upf
Pt 195.08 Pt.upf
Ca 40.08 Ca.upf
ATOMIC_POSITIONS angstrom
Mo 2.951 0.806 0.870
Pt 0.188 0.051 0.294
Pt 8.007 2.187 3.349
Ca 5.398 1.474 2.733
CELL_PARAMETERS angstrom
5.364 0.004 -0.006
4.621 2.723 -0.006
1.046 0.286 4.843
```

Values from the calculation:
total moment	0.003	μB/f.u.
D(E_F)	0.835	states/eV per atom

What are the relative energies? In eV/atom: arrangement A 0.237; arrangement B 0.032; arrangement C 0.000; arrangement D 0.093.

Arrangement A

CaReMo2: relaxed, PBE-GGA. Values from VASP.

Quantum ESPRESSO input file:
```
&SYSTEM
  ibrav = 0, nat = 4, ntyp = 3
/
ATOMIC_SPECIES
Ca 40.08 Ca.upf
Mo 95.94 Mo.upf
Re 186.21 Re.upf
ATOMIC_POSITIONS angstrom
Ca 0.000 0.000 0.000
Mo 1.621 1.621 1.621
Mo 4.862 4.862 4.862
Re 3.242 3.242 3.242
CELL_PARAMETERS angstrom
0.000 3.242 3.242
3.242 0.000 3.242
3.242 3.242 0.000
```

Values from the calculation:
total moment	0.000	μB/f.u.
D(E_F)	1.354	states/eV per atom

Arrangement B

CaReMo2: relaxed, PBE-GGA. Values from VASP.

Quantum ESPRESSO input file:
```
&SYSTEM
  ibrav = 0, nat = 4, ntyp = 3
/
ATOMIC_SPECIES
Mo 95.94 Mo.upf
Ca 40.08 Ca.upf
Re 186.21 Re.upf
ATOMIC_POSITIONS angstrom
Mo -0.412 -2.203 4.360
Mo -0.768 -4.109 8.133
Ca 1.167 -1.794 1.836
Re 0.992 0.788 3.124
CELL_PARAMETERS angstrom
-0.568 0.477 5.452
-0.218 -4.685 2.877
2.945 3.202 -3.369
```

Values from the calculation:
total moment	0.000	μB/f.u.
D(E_F)	0.928	states/eV per atom

Arrangement C

CaReMo2: relaxed, PBE-GGA. Values from VASP.

Quantum ESPRESSO input file:
```
&SYSTEM
  ibrav = 0, nat = 4, ntyp = 3
/
ATOMIC_SPECIES
Ca 40.08 Ca.upf
Mo 95.94 Mo.upf
Re 186.21 Re.upf
ATOMIC_POSITIONS angstrom
Ca 0.688 4.917 3.588
Mo 0.102 0.402 0.113
Mo 0.798 3.155 0.884
Re -0.212 1.359 2.591
CELL_PARAMETERS angstrom
-2.729 0.249 1.573
1.406 -1.088 2.612
1.800 7.114 1.994
```

Values from the calculation:
total moment	0.002	μB/f.u.
D(E_F)	1.271	states/eV per atom

What are the relative energies? In eV/atom: arrangement A 0.089; arrangement B 0.053; arrangement C 0.000.

Arrangement A

CaRe3Mo: relaxed, PBE-GGA. Values from VASP.

Quantum ESPRESSO input file:
```
&SYSTEM
  ibrav = 0, nat = 5, ntyp = 3
/
ATOMIC_SPECIES
Mo 95.94 Mo.upf
Re 186.21 Re.upf
Ca 40.08 Ca.upf
ATOMIC_POSITIONS angstrom
Mo -2.033 -2.273 -2.429
Re -1.857 0.619 -1.111
Re -0.983 -1.946 0.558
Re 0.807 -0.946 -1.876
Ca 0.000 0.000 0.000
CELL_PARAMETERS angstrom
-3.714 1.238 -2.222
1.614 -1.892 -3.752
-1.966 -3.893 1.116
```

Values from the calculation:
total moment	0.003	μB/f.u.
D(E_F)	1.238	states/eV per atom

Arrangement B

CaRe3Mo: relaxed, PBE-GGA. Values from VASP.

Quantum ESPRESSO input file:
```
&SYSTEM
  ibrav = 0, nat = 5, ntyp = 3
/
ATOMIC_SPECIES
Re 186.21 Re.upf
Mo 95.94 Mo.upf
Ca 40.08 Ca.upf
ATOMIC_POSITIONS angstrom
Re -1.200 1.829 0.976
Re 1.907 0.530 1.350
Re -0.814 -1.453 1.722
Mo 0.000 0.000 0.000
Ca -0.107 0.906 4.048
CELL_PARAMETERS angstrom
-2.399 3.658 1.953
-1.629 -2.906 3.443
3.814 1.060 2.699
```

Values from the calculation:
total moment	2.152	μB/f.u.
D(E_F)	0.926	states/eV per atom

What are the relative energies? In eV/atom: arrangement A 1.529; arrangement B 0.000.